This record from the Alexandria database describes an optimized crystal structure of PrHgPdPt. The functional is PBE.

Summary:
For the formation energy, the calculation gives -627 meV per atom. The space-group type is F-43m, No. 216. The value obtained for the magnetic moment is 0.00 μB per formula unit.

abc: 4.9235 4.9235 4.9235
angles: 60.00 60.00 60.00
Last column: nearest neighbours and their distance in Å.
Fractional coordinates of all 4 atoms:
Pr (0.0000, 0.0000, 0.0000)  4 Pt 3.02, 4 Pd 3.02
Hg (0.5000, 0.5000, 0.5000)  4 Pd 3.02, 4 Pt 3.02
Pd (0.7500, 0.7500, 0.7500)  4 Hg 3.02, 4 Pr 3.02
Pt (0.2500, 0.2500, 0.2500)  4 Hg 3.02, 4 Pr 3.02


This record from the Alexandria database describes an optimized crystal structure of PrPuHgPd. The functional is PBE.

Summary:
For the formation energy, the calculation gives -351 meV per atom. The space-group type is F-43m, No. 216. The value obtained for the magnetic moment is 5.85 μB per formula unit.

abc: 5.2498 5.2498 5.2498
angles: 60.00 60.00 60.00
Last column: nearest neighbours and their distance in Å.
Fractional coordinates of all 4 atoms:
Pr (0.0000, 0.0000, 0.0000)  4 Hg 3.21, 4 Pd 3.21
Pu (0.5000, 0.5000, 0.5000)  4 Hg 3.21, 4 Pd 3.21
Hg (0.7500, 0.7500, 0.7500)  4 Pr 3.21, 4 Pu 3.21
Pd (0.2500, 0.2500, 0.2500)  4 Pr 3.21, 4 Pu 3.21